Material: Y2PdRh2
Method: DFT, GGA-PBEsol
State: relaxed

The space group is P4/mbm (No. 127) and the conventional cell measures 7.064, 7.064 and 3.815 Å, with angles of 90.00, 90.00 and 90.00 degrees. The asymmetric unit holds Y at (0.176, 0.324, 0.000), Pd at (0.000, 0.000, 0.500) and Rh at (0.131, 0.631, 0.500).

The formation energy comes out at -348 kJ/mol of formula units. As for the final energy: -7.90 eV/atom.

***

Material: Y2PdRh
Method: DFT, GGA-PBEsol
State: relaxed

The space group is Fm-3m (No. 225) and the conventional cell measures 6.833, 6.833 and 6.833 Å, with angles of 90.00, 90.00 and 90.00 degrees. The asymmetric unit holds Y at (0.250, 0.250, 0.250), Pd at (0.000, 0.000, 0.000) and Rh at (0.000, 0.000, 0.500).

The formation energy comes out at -323 kJ/mol of formula units. As for the final energy: -7.77 eV/atom.

***

Material: Zn3PdRh
Method: DFT, GGA-PBEsol
State: relaxed

The space group is Pm-3m (No. 221) and the conventional cell measures 4.540, 4.540 and 4.540 Å, with angles of 90.00, 90.00 and 90.00 degrees. The asymmetric unit holds Zn at (0.000, 0.000, 0.500), Pd at (0.000, 0.000, 0.000) and Rh at (0.500, 0.500, 0.500).

The formation energy comes out at 307 kJ/mol of formula units. As for the final energy: -3.13 eV/atom.

***

Material: Zn2PdRh
Method: DFT, GGA-PBEsol
State: relaxed

The space group is Fm-3m (No. 225) and the conventional cell measures 5.971, 5.971 and 5.971 Å, with angles of 90.00, 90.00 and 90.00 degrees. The asymmetric unit holds Zn at (0.250, 0.250, 0.250), Pd at (0.000, 0.000, 0.000) and Rh at (0.000, 0.000, 0.500).

The formation energy comes out at -196 kJ/mol of formula units. As for the final energy: -4.82 eV/atom.

***

Material: Zr2Pd3Rh3
Method: DFT, GGA-PBEsol
State: relaxed

The space group is Pmmm (No. 47) and the conventional cell measures 3.939, 3.983 and 7.740 Å, with angles of 90.00, 90.00 and 90.00 degrees. The asymmetric unit holds Zr at (0.000, 0.000, 0.245), Pd at (0.000, 0.500, 0.500), Pd at (0.500, 0.500, 0.249), Rh at (0.000, 0.500, 0.000), Rh at (0.500, 0.000, 0.000) and Rh at (0.500, 0.000, 0.500).

The formation energy comes out at -574 kJ/mol of formula units. As for the final energy: -8.30 eV/atom.

***

Material: Sc3PdRu
Method: DFT, GGA-PBEsol
State: relaxed

The space group is Pm-3m (No. 221) and the conventional cell measures 4.835, 4.835 and 4.835 Å, with angles of 90.00, 90.00 and 90.00 degrees. The asymmetric unit holds Sc at (0.000, 0.000, 0.500), Pd at (0.000, 0.000, 0.000) and Ru at (0.500, 0.500, 0.500).

The energy above the most stable polymorph in this dataset is 427.4 meV/atom. The formation energy comes out at 203 kJ/mol of formula units. As for the final energy: -6.77 eV/atom.